No. 1
The following is a SCAN calculation of a PBEsol-optimized structure of MnZnH22C5N10Cl4O6, from Alexandria via LeMat-Bulk.

Values from the calculation:
Raw total energy, eV per formula unit: -356.2
DOS at the Fermi energy, states/eV/cell: 0.00
Total magnetic moment, Bohr magnetons per cell: 10.00

Unit cell a=7.6069 b=12.0628 c=13.4627 alpha=109.35 beta=102.84 gamma=102.63
Last column: nearest neighbours and their distance in Å.
Space group P-1 (No. 2)
One atom of each set of equivalent atoms:
Mn 0.0284 0.2208 0.2459 x2  6 O 2.12-2.21
Zn 0.4501 0.7233 0.3019 x2  4 Cl 2.24-2.27
H 0.0260 0.5486 0.7753 x2  1 N 1.02
H 0.0303 0.7854 0.3827 x2  1 N 1.03
H 0.0691 0.3808 0.9376 x2  1 N 1.02
H 0.1162 0.1376 0.5565 x2  1 N 1.03
H 0.1447 0.0161 0.7412 x2  1 N 1.03
H 0.1568 0.7991 0.0951 x2  1 N 1.02
H 0.1597 0.8523 0.9870 x2  1 N 1.03
H 0.1900 0.4647 0.7744 x2  1 N 1.02
H 0.1918 0.0827 0.3655 x2  1 N 1.03
H 0.2291 0.7381 0.6258 x2  1 N 1.03
H 0.2353 0.7110 0.4891 x2  1 N 1.02
H 0.2405 0.4682 0.0709 x2  1 N 1.02
H 0.2663 0.1747 0.8279 x2  1 N 1.02
H 0.2779 0.4579 0.3918 x2  1 O 0.99
H 0.2810 0.1304 0.0781 x2  1 N 1.03
H 0.2925 0.3677 0.4532 x2  1 O 0.99
H 0.3488 0.2352 0.0199 x2  1 N 1.02
H 0.3638 0.0034 0.3711 x2  1 N 1.02
H 0.4456 0.9011 0.8100 x2  1 N 1.03
H 0.4523 0.3039 0.2428 x2  1 N 1.03
H 0.4536 0.0015 0.7423 x2  1 N 1.03
H 0.4832 0.5464 0.7582 x2  1 N 1.02
C 0.0416 0.3133 0.0572 x2  1 O 1.28, 2 N 1.34-1.35
C 0.0576 0.8084 0.5448 x2  1 O 1.29, 2 N 1.33-1.34
C 0.2143 0.0556 0.9072 x2  1 O 1.28, 2 N 1.34
C 0.2768 0.6320 0.7613 x2  1 O 1.28, 2 N 1.34
C 0.3468 0.0869 0.2608 x2  1 O 1.28, 2 N 1.33-1.35
N 0.0159 0.1818 0.5506 x2  2 H 1.03
N 0.1114 0.7836 0.0129 x2  2 H 1.02-1.03
N 0.1271 0.3917 0.0179 x2  2 H 1.02
N 0.1510 0.5373 0.7647 x2  2 H 1.02
N 0.1871 0.7503 0.5530 x2  2 H 1.02-1.03
N 0.2066 0.0860 0.8194 x2  2 H 1.02-1.03
N 0.2922 0.0502 0.3353 x2  2 H 1.02-1.03
N 0.3017 0.1452 0.0098 x2  2 H 1.02-1.03
N 0.4498 0.6244 0.7605 x2  2 H 1.02-1.03
N 0.4754 0.0435 0.2186 x2  2 H 1.03
Cl 0.1435 0.7147 0.2389 x2  1 Zn 2.26, 3 H 2.28-2.48
Cl 0.3722 0.0768 0.6041 x2  1 Zn 2.24, 3 H 2.26-2.42
Cl 0.4463 0.3741 0.8362 x2  1 Zn 2.25, 2 H 2.44-2.45
Cl 0.4662 0.6297 0.4236 x2  2 H 2.09-2.17, 1 Zn 2.27
O 0.0043 0.8557 0.6297 x2  1 C 1.29
O 0.1071 0.3330 0.1597 x2  1 C 1.28
O 0.1439 0.9434 0.8941 x2  1 C 1.28
O 0.2051 0.3804 0.3945 x2  2 H 0.99
O 0.2338 0.7279 0.7579 x2  1 C 1.28
O 0.2756 0.1593 0.2255 x2  1 C 1.28



No. 2
The following is a SCAN calculation of a PBEsol-optimized structure of Ca2RuCl, from Alexandria via LeMat-Bulk.

Values from the calculation:
E above lowest polymorph, eV/atom: 0.231
ΔE_f (raw), meV per atom: -507
DOS at the Fermi energy, states/eV/cell: 2.01
Total magnetic moment, Bohr magnetons per cell: 0.87

Unit cell a=4.0063 b=4.0063 c=5.6074 alpha=90.00 beta=90.00 gamma=90.00
Last column: nearest neighbours and their distance in Å.
Space group P4/mmm (No. 123)
One atom of each set of equivalent atoms:
Ca 0.0000 0.0000 0.0000 x1  2 Ru 2.80, 4 Cl 2.83
Ca 0.5000 0.5000 0.5000 x1  2 Cl 2.80, 4 Ru 2.83
Ru 0.0000 0.0000 0.5000 x1  6 Ca 2.80-2.83
Cl 0.5000 0.5000 0.0000 x1  6 Ca 2.80-2.83



No. 3
The following is a SCAN calculation of a PBEsol-optimized structure of LiHgIr2, from Alexandria via LeMat-Bulk.

Values from the calculation:
ΔE_f, kJ/mol of atoms: 5
DOS at the Fermi energy, states/eV/cell: 3.37
Total magnetic moment, Bohr magnetons per cell: 0.00

Unit cell a=2.7756 b=3.9065 c=5.6011 alpha=90.00 beta=90.00 gamma=90.00
Last column: nearest neighbours and their distance in Å.
Space group Pmm2 (No. 25)
One atom of each set of equivalent atoms:
Li 0.0000 0.0000 0.0000 x1  5 Ir 2.54-2.83, 4 Hg 2.71, 2 Li 2.78
Hg 0.5000 0.5000 0.2268 x1  4 Li 2.71, 2 Hg 2.78, 6 Ir 2.78-2.99
Ir 0.0000 0.0000 0.5473 x1  1 Li 2.54, 6 Ir 2.61-2.78
Ir 0.5000 0.5000 0.7311 x1  6 Ir 2.61-2.78, 2 Hg 2.78-2.82, 4 Li 2.83



No. 4
The following is a SCAN calculation of a PBEsol-optimized structure of CaTlCd2, from Alexandria via LeMat-Bulk.

Values from the calculation:
E above lowest polymorph, eV/atom: 0.000
ΔE_f, kJ/mol of atoms: -28
DOS at the Fermi energy, states/eV/cell: 4.49
Total magnetic moment, Bohr magnetons per cell: 0.00

Unit cell a=7.2342 b=7.2342 c=7.2342 alpha=90.00 beta=90.00 gamma=90.00
Last column: nearest neighbours and their distance in Å.
Space group F-43m (No. 216)
One atom of each set of equivalent atoms:
Ca 0.0000 0.0000 0.0000 x4  4 Tl 3.13, 4 Cd 3.13
Tl 0.2500 0.2500 0.7500 x4  4 Cd 3.13, 4 Ca 3.13
Cd 0.0000 0.0000 0.5000 x4  4 Cd 3.13, 4 Tl 3.13
Cd 0.2500 0.2500 0.2500 x4  4 Cd 3.13, 4 Ca 3.13



No. 5
The following is a SCAN calculation of a PBEsol-optimized structure of Li2Al, from Alexandria via LeMat-Bulk.

Values from the calculation:
ΔE_f, kJ/mol of atoms: -10
DOS at the Fermi energy, states/eV/cell: 1.77
Total magnetic moment, Bohr magnetons per cell: 0.00

Unit cell a=2.6855 b=4.3525 c=8.3346 alpha=90.00 beta=90.00 gamma=90.00
Last column: nearest neighbours and their distance in Å.
Space group Immm (No. 71)
One atom of each set of equivalent atoms:
Li 0.0000 0.0000 0.1598 x4  7 Li 2.66-2.97, 5 Al 2.84-2.88
Al 0.0000 0.0000 0.5000 x2  2 Al 2.69, 10 Li 2.84-2.88



No. 6
The following is a SCAN calculation of a PBEsol-optimized structure of LiTc2Ru, from Alexandria via LeMat-Bulk.

Values from the calculation:
E above lowest polymorph, eV/atom: 0.000
ΔE_f, kJ/mol of atoms: 9
DOS at the Fermi energy, states/eV/cell: 12.99
Total magnetic moment, Bohr magnetons per cell: 0.00

Unit cell a=5.9390 b=5.9390 c=5.9390 alpha=90.00 beta=90.00 gamma=90.00
Last column: nearest neighbours and their distance in Å.
Space group F-43m (No. 216)
One atom of each set of equivalent atoms:
Li 0.0000 0.0000 0.0000 x4  4 Tc 2.57, 4 Ru 2.57
Tc 0.0000 0.0000 0.5000 x4  4 Tc 2.57, 4 Ru 2.57
Tc 0.2500 0.2500 0.2500 x4  4 Li 2.57, 4 Tc 2.57
Ru 0.2500 0.2500 0.7500 x4  4 Li 2.57, 4 Tc 2.57